(1)
The following is a PBE calculation of an optimized crystal structure of ErTmTh2, from Alexandria.

```
ErTmTh2
1.0
-2.337 -2.796 3.406
3.619 -3.460 -0.357
2.562 2.304 3.650
Th Er Tm
2 1 1
direct
0.000 0.500 0.000
0.000 0.000 0.500
0.500 0.500 0.500
0.500 0.000 0.000
```

Calculated values
Energy relative to the lowest polymorph listed for this composition: 4.2 meV per atom
Symmetry: No. 123
D(E_F): 1.42 states/eV per atom
Total moment: 0.000 μB/f.u.
Crystal system: tetragonal
Calculated volume: 31.42 A^3/atom
ΔE_f: 3 kJ/mol of atoms

(2)
The following is a PBE calculation of an optimized crystal structure of Er6TmTh2, from Alexandria.

```
Er6TmTh2
1.0
-4.190 -2.659 0.717
1.918 -7.613 0.508
-1.274 -0.628 7.754
Th Tm Er
2 1 6
direct
0.332 0.500 0.836
0.668 0.500 0.164
0.000 0.500 0.500
0.003 0.828 0.167
0.330 0.172 0.167
0.666 0.168 0.500
0.334 0.832 0.500
0.670 0.828 0.833
0.997 0.172 0.833
```

Calculated values
Symmetry: No. 69
D(E_F): 1.57 states/eV per atom
Total moment: 0.000 μB/f.u.
Crystal system: orthorhombic
Calculated volume: 31.05 A^3/atom
ΔE_f: 3 kJ/mol of atoms

(3)
The following is a PBE calculation of an optimized crystal structure of Er4Tm19Th6, from Alexandria.

```
Er4Tm19Th6
1.0
-2.376 -8.507 -5.983
8.261 -2.309 6.343
-8.444 2.619 5.970
Tm Er Th
19 4 6
direct
0.342 0.019 0.810
0.323 0.791 0.981
0.981 0.323 0.791
0.468 0.677 0.658
0.736 0.736 0.000
0.810 0.342 0.019
0.658 0.468 0.677
0.209 0.532 0.190
0.264 0.000 0.264
0.532 0.190 0.209
0.000 0.000 0.000
0.677 0.658 0.468
0.791 0.981 0.323
0.019 0.810 0.342
0.264 0.264 0.000
0.000 0.264 0.264
0.000 0.736 0.736
0.190 0.209 0.532
0.736 0.000 0.736
0.355 0.355 0.355
0.000 0.645 0.000
0.000 0.000 0.645
0.645 0.000 0.000
0.500 0.130 0.630
0.130 0.630 0.500
0.870 0.370 0.500
0.630 0.500 0.130
0.370 0.500 0.870
0.500 0.870 0.370
```

Calculated values
Symmetry: No. 197
D(E_F): 1.62 states/eV per atom
Total moment: 0.003 μB/f.u.
Crystal system: cubic
Calculated volume: 32.23 A^3/atom
ΔE_f: 41 kJ/mol of atoms

(4)
The following is a PBE calculation of an optimized crystal structure of Er8Tm5Th, from Alexandria.

```
Er8Tm5Th
1.0
7.936 0.000 -2.564
-4.037 6.702 -2.887
0.139 0.000 8.338
Er Tm Th
8 5 1
direct
0.155 0.737 0.078
0.520 0.605 0.263
0.582 0.923 0.845
0.737 0.257 0.341
0.341 0.263 0.418
0.085 0.743 0.480
0.922 0.077 0.659
0.659 0.395 0.915
0.036 0.326 0.132
0.290 0.096 0.964
0.500 0.000 0.500
0.806 0.674 0.710
0.868 0.904 0.194
0.250 0.500 0.750
```

Calculated values
Symmetry: No. 82
D(E_F): 1.71 states/eV per atom
Total moment: 0.862 μB/f.u.
Crystal system: tetragonal
Calculated volume: 31.85 A^3/atom
ΔE_f: 28 kJ/mol of atoms

(5)
The following is a PBE calculation of an optimized crystal structure of ErTm7Th2, from Alexandria.

```
ErTm7Th2
1.0
-3.570 -0.130 0.283
-0.931 -5.660 8.430
-1.959 9.685 2.515
Tm Er Th
7 1 2
direct
0.000 0.662 0.338
0.749 0.097 0.405
0.000 0.338 0.662
0.251 0.596 0.903
0.251 0.903 0.595
0.500 0.500 0.500
0.749 0.404 0.097
0.000 0.000 0.000
0.500 0.176 0.824
0.500 0.824 0.176
```

Calculated values
Energy relative to the lowest polymorph listed for this composition: 0.0 meV per atom
Symmetry: No. 71
D(E_F): 1.64 states/eV per atom
Total moment: 0.000 μB/f.u.
Crystal system: orthorhombic
Calculated volume: 33.84 A^3/atom
ΔE_f: 33 kJ/mol of atoms

(6)
The following is a PBE calculation of an optimized crystal structure of Er3Tm3Th2, from Alexandria.

```
Er3Tm3Th2
1.0
6.285 -0.004 -0.003
0.003 6.285 -0.003
0.004 0.004 6.285
Th Er Tm
2 3 3
direct
0.750 0.750 0.250
0.250 0.250 0.750
0.750 0.500 0.750
0.500 0.250 0.250
0.250 0.750 0.500
0.750 0.000 0.750
0.250 0.750 0.000
0.000 0.250 0.250
```

Calculated values
Energy relative to the lowest polymorph listed for this composition: 183.5 meV per atom
Symmetry: No. 155
D(E_F): 1.99 states/eV per atom
Total moment: 0.000 μB/f.u.
Crystal system: trigonal
Calculated volume: 31.03 A^3/atom
ΔE_f: 20 kJ/mol of atoms